LiCoRh after structural relaxation. Source: Alexandria, functional GGA-PBE.

## Properties
- Uncorrected energy: -5.1018 eV/atom
- Space-group type: F-43m, No. 216
- V: 14.57 Å³ per atom
- ΔH_f (0 K): 0.355 eV/atom

a b c (Å): 3.9541 3.9541 3.9541
angles (deg): 60.00 60.00 60.00
With the nearest neighbours (Å) after each atom.
Positions (direct):
Co  0.7500  0.7500  0.7500  4 Li 2.42, 4 Rh 2.42
Li  0.0000  0.0000  0.0000  4 Co 2.42
Rh  0.5000  0.5000  0.5000  4 Co 2.42

LiCoRh2 after structural relaxation. Source: Alexandria, functional GGA-PBE.

## Properties
- Uncorrected energy: -5.9064 eV/atom
- Space-group type: I-4m2, No. 119
- V: 12.60 Å³ per atom
- ΔH_f (0 K): 0.024 eV/atom

a b c (Å): 4.6303 4.6303 4.6303
angles (deg): 134.09 134.09 66.95
With the nearest neighbours (Å) after each atom.
Positions (direct):
Co  0.5000  0.5000  0.0000  8 Rh 2.55-2.64, 4 Li 2.64
Li  0.7500  0.2500  0.5000  8 Rh 2.55-2.64, 4 Co 2.64
Rh  0.0000  0.0000  0.0000  4 Co 2.55, 4 Li 2.64, 4 Rh 2.64
Rh  0.2500  0.7500  0.5000  4 Li 2.55, 4 Rh 2.64, 4 Co 2.64

LiCoRh2 after structural relaxation. Source: Alexandria, functional GGA-PBE.

## Properties
- Uncorrected energy: -5.9474 eV/atom
- Space-group type: Fm-3m, No. 225
- V: 12.75 Å³ per atom
- ΔH_f (0 K): -0.017 eV/atom

a b c (Å): 4.1629 4.1629 4.1629
angles (deg): 60.00 60.00 60.00
With the nearest neighbours (Å) after each atom.
Positions (direct):
Co  0.5000  0.5000  0.5000  8 Rh 2.55
Rh  0.2500  0.2500  0.2500  4 Co 2.55, 4 Li 2.55
Rh  0.7500  0.7500  0.7500  4 Co 2.55, 4 Li 2.55
Li  0.0000  0.0000  0.0000  8 Rh 2.55

Li4CoRh after structural relaxation. Source: Alexandria, functional GGA-PBE.

## Properties
- Uncorrected energy: -3.4587 eV/atom
- Space-group type: F-43m, No. 216
- V: 12.22 Å³ per atom
- ΔH_f (0 K): 0.227 eV/atom

a b c (Å): 4.6983 4.6983 4.6983
angles (deg): 60.00 60.00 60.00
With the nearest neighbours (Å) after each atom.
Positions (direct):
Li  0.8738  0.3754  0.3754  6 Li 2.34-2.36
Li  0.3754  0.3754  0.8738  6 Li 2.34-2.36
Li  0.3754  0.8738  0.3754  6 Li 2.34-2.36
Li  0.3754  0.3754  0.3754  6 Li 2.34-2.36
Co  0.0000  0.0000  0.0000  12 Li 2.76, 4 Rh 2.88
Rh  0.7500  0.7500  0.7500  12 Li 2.75, 4 Co 2.88

Li2CoRh2 after structural relaxation. Source: Alexandria, functional GGA-PBE.

## Properties
- Uncorrected energy: -4.8924 eV/atom
- Space-group type: P4/mbm, No. 127
- V: 13.10 Å³ per atom
- ΔH_f (0 K): 0.235 eV/atom

a b c (Å): 6.5657 6.5657 3.0386
angles (deg): 90.00 90.00 90.00
With the nearest neighbours (Å) after each atom.
Positions (direct):
Co  0.0000  0.0000  0.0000  4 Rh 2.51
Co  0.5000  0.5000  0.0000  4 Rh 2.51
Rh  0.3529  0.8529  0.0000  6 Li 2.39-2.49, 2 Co 2.51
Rh  0.8529  0.6471  0.0000  6 Li 2.39-2.49, 2 Co 2.51
Rh  0.6471  0.1471  0.0000  6 Li 2.39-2.49, 2 Co 2.51
Rh  0.1471  0.3529  0.0000  6 Li 2.39-2.49, 2 Co 2.51
Li  0.1540  0.6540  0.5000  6 Rh 2.39-2.49
Li  0.6540  0.8460  0.5000  6 Rh 2.39-2.49
Li  0.8460  0.3460  0.5000  6 Rh 2.39-2.49
Li  0.3460  0.1540  0.5000  6 Rh 2.39-2.49

LiCoRh2 after structural relaxation. Source: Alexandria, functional GGA-PBE.

## Properties
- Uncorrected energy: -5.5494 eV/atom
- Space-group type: I-42d, No. 122
- V: 14.72 Å³ per atom
- ΔH_f (0 K): 0.381 eV/atom

a b c (Å): 6.7767 6.7767 5.4348
angles (deg): 51.43 51.43 90.00
With the nearest neighbours (Å) after each atom.
Positions (direct):
Co  0.0000  0.0000  0.0000  4 Rh 2.33, 2 Li 2.56
Co  0.7500  0.2500  0.5000  4 Rh 2.33, 2 Li 2.56
Rh  0.6596  0.1250  0.2500  2 Co 2.33
Rh  0.0904  0.6250  0.2500  2 Co 2.33
Rh  0.3750  0.3404  0.7500  2 Co 2.33
Rh  0.8750  0.9096  0.7500  2 Co 2.33
Li  0.5000  0.5000  0.0000  2 Co 2.56, 4 Rh 2.65
Li  0.2500  0.7500  0.5000  2 Co 2.56, 4 Rh 2.65

LiCoRh2 after structural relaxation. Source: Alexandria, functional GGA-PBE.

## Properties
- Uncorrected energy: -5.9061 eV/atom
- Space-group type: Imm2, No. 44
- V: 12.71 Å³ per atom
- ΔH_f (0 K): 0.025 eV/atom

a b c (Å): 4.9578 4.9578 4.9578
angles (deg): 146.62 130.02 61.44
With the nearest neighbours (Å) after each atom.
Positions (direct):
Co  0.4961  0.4961  0.0000  2 Li 2.49, 6 Rh 2.53-2.54
Li  0.2559  0.7559  0.5000  2 Co 2.49, 6 Rh 2.53-2.57
Rh  0.0049  0.0049  0.0000  4 Co 2.53, 2 Li 2.57, 2 Rh 2.65
Rh  0.7432  0.2432  0.5000  4 Li 2.53, 2 Co 2.54, 2 Rh 2.65

LiCoRh2 after structural relaxation. Source: Alexandria, functional GGA-PBE.

## Properties
- Uncorrected energy: -5.9672 eV/atom
- Space-group type: R3m, No. 160
- V: 13.31 Å³ per atom
- ΔH_f (0 K): -0.037 eV/atom

a b c (Å): 2.6845 2.6845 8.6730
angles (deg): 81.10 81.10 59.99
With the nearest neighbours (Å) after each atom.
Positions (direct):
Li  0.4998  0.4998  0.5001  6 Li 2.68, 6 Rh 2.69
Co  0.6666  0.6666  0.0002  6 Rh 2.58-2.59, 6 Co 2.68
Rh  0.0809  0.0809  0.7577  3 Co 2.59, 6 Rh 2.68, 3 Li 2.69
Rh  0.2527  0.2527  0.2420  3 Co 2.58, 6 Rh 2.68, 3 Li 2.69

LiCoRh2 after structural relaxation. Source: Alexandria, functional GGA-PBE.

## Properties
- Uncorrected energy: -5.8952 eV/atom
- Space-group type: Amm2, No. 38
- V: 12.57 Å³ per atom
- ΔH_f (0 K): 0.035 eV/atom

a b c (Å): 4.0376 2.6232 4.9247
angles (deg): 74.53 90.00 90.00
With the nearest neighbours (Å) after each atom.
Positions (direct):
Co  0.0000  0.6911  0.4948  2 Li 2.38, 7 Rh 2.49-2.62, 2 Co 2.62
Li  0.5000  0.5574  0.7588  2 Co 2.38, 7 Rh 2.46-2.64, 2 Li 2.62
Rh  0.0000  0.9521  0.9701  3 Co 2.49-2.61, 4 Li 2.61, 2 Rh 2.62
Rh  0.5000  0.2995  0.2763  3 Li 2.46-2.64, 4 Co 2.62, 2 Rh 2.62

LiCo2Rh after structural relaxation. Source: Alexandria, functional GGA-PBE.

## Properties
- Uncorrected energy: -5.7641 eV/atom
- Space-group type: P4mm, No. 99
- V: 12.46 Å³ per atom
- ΔH_f (0 K): 0.105 eV/atom

a b c (Å): 2.6114 2.6114 7.3072
angles (deg): 90.00 90.00 90.00
With the nearest neighbours (Å) after each atom.
Positions (direct):
Co  0.0000  0.0000  0.0148  8 Co 2.42-2.61, 4 Rh 2.62
Co  0.5000  0.5000  0.2298  8 Co 2.42-2.61, 4 Li 2.68
Li  0.0000  0.0000  0.4948  4 Li 2.61, 4 Co 2.68, 4 Rh 2.68
Rh  0.5000  0.5000  0.7606  4 Rh 2.61, 4 Co 2.62, 4 Li 2.68

LiCo3Rh after structural relaxation. Source: Alexandria, functional GGA-PBE.

## Properties
- Uncorrected energy: -5.2801 eV/atom
- Space-group type: Pm-3m, No. 221
- V: 11.88 Å³ per atom
- ΔH_f (0 K): 0.837 eV/atom

a b c (Å): 3.9021 3.9021 3.9021
angles (deg): 90.00 90.00 90.00
With the nearest neighbours (Å) after each atom.
Positions (direct):
Co  0.0000  0.5000  0.0000  2 Li 1.95
Co  0.0000  0.0000  0.5000  2 Li 1.95
Co  0.5000  0.0000  0.0000  2 Li 1.95
Rh  0.5000  0.5000  0.5000  12 Co 2.76
Li  0.0000  0.0000  0.0000  6 Co 1.95

LiCoRh2 after structural relaxation. Source: Alexandria, functional GGA-PBE.

## Properties
- Uncorrected energy: -5.8717 eV/atom
- Space-group type: P2/m, No. 10
- V: 13.14 Å³ per atom
- ΔH_f (0 K): 0.059 eV/atom

a b c (Å): 4.1216 2.6366 4.8618
angles (deg): 84.04 90.00 90.00
With the nearest neighbours (Å) after each atom.
Positions (direct):
Co  0.5000  0.2500  0.2500  4 Rh 2.55, 2 Co 2.64, 2 Li 2.64
Li  0.5000  0.7500  0.7500  4 Rh 2.48, 2 Li 2.64, 2 Co 2.64
Rh  0.0000  0.9796  0.9936  2 Li 2.48, 2 Co 2.55, 5 Rh 2.63-2.77
Rh  0.0000  0.5204  0.5064  2 Li 2.48, 2 Co 2.55, 5 Rh 2.63-2.77